Version P
Below is an optimized crystal structure of Tb2HoCd2, with properties calculated at the GGA-PBE level.

Cell and atoms, written as CIF:
```
data_Tb2HoCd2
_cell_length_a 3.7238
_cell_length_b 5.3364
_cell_length_c 13.8956
_cell_angle_alpha 90.00
_cell_angle_beta 97.72
_cell_angle_gamma 90.00
_space_group_name_H-M_alt 'P 1 21/m 1'
_space_group_IT_number 11
loop_
_space_group_symop_operation_xyz
'x,y,z'
'-x,-y,-z'
'-x,y+1/2,-z'
'x,-y+1/2,z'
loop_
_atom_site_label
_atom_site_fract_x
_atom_site_fract_y
_atom_site_fract_z
Tb1 0.0455 0.2500 0.0901
Tb2 0.2352 0.2500 0.4714
Ho1 0.1495 0.7500 0.2983
Cd1 0.3597 0.7500 0.7194
Cd2 0.4470 0.2500 0.8941
```

---

Version Q
Below is an optimized crystal structure of Tb2HoCd2, with properties calculated at the GGA-PBE level.

Cell and atoms, written as CIF:
```
data_Tb2HoCd2
_cell_length_a 4.9983
_cell_length_b 6.8492
_cell_length_c 8.2294
_cell_angle_alpha 90.00
_cell_angle_beta 90.00
_cell_angle_gamma 90.00
_space_group_name_H-M_alt 'I m m m'
_space_group_IT_number 71
_space_group_name_Hall '-I 2 2'
loop_
_atom_site_label
_atom_site_fract_x
_atom_site_fract_y
_atom_site_fract_z
Tb1 0.0000 0.0000 0.1978
Ho1 0.0000 0.5000 0.0000
Cd1 0.0000 0.2897 0.5000
```

---

Which of them is the least stable? Correct choice: version Q.

---

Version P
Below is an optimized crystal structure of Tb4HoCd, with properties calculated at the GGA-PBE level.

Cell and atoms, written as CIF:
```
data_Tb4HoCd
_cell_length_a 3.5659
_cell_length_b 3.5659
_cell_length_c 14.1677
_cell_angle_alpha 90.00
_cell_angle_beta 90.00
_cell_angle_gamma 90.00
_space_group_name_H-M_alt 'P 4/m m m'
_space_group_IT_number 123
_space_group_name_Hall '-P 4 2'
loop_
_atom_site_label
_atom_site_fract_x
_atom_site_fract_y
_atom_site_fract_z
Tb1 0.0000 0.0000 0.1476
Tb2 0.5000 0.5000 0.3238
Ho1 0.0000 0.0000 0.5000
Cd1 0.5000 0.5000 0.0000
```

---

Version Q
Below is an optimized crystal structure of Tb4HoCd, with properties calculated at the GGA-PBE level.

Cell and atoms, written as CIF:
```
data_Tb4HoCd
_cell_length_a 8.7022
_cell_length_b 14.1549
_cell_length_c 6.3100
_cell_angle_alpha 90.00
_cell_angle_beta 109.20
_cell_angle_gamma 90.00
_space_group_name_H-M_alt 'C 1 2/c 1'
_space_group_IT_number 15
loop_
_space_group_symop_operation_xyz
'x,y,z'
'-x,-y,-z'
'-x,y,-z+1/2'
'x,-y,z+1/2'
'x+1/2,y+1/2,z'
'-x+1/2,-y+1/2,-z'
'-x+1/2,y+1/2,-z+1/2'
'x+1/2,-y+1/2,z+1/2'
loop_
_atom_site_label
_atom_site_fract_x
_atom_site_fract_y
_atom_site_fract_z
Tb1 0.0980 0.1909 0.0432
Tb2 0.2152 0.3775 0.3778
Ho1 0.0000 0.4110 0.7500
Cd1 0.0000 0.0005 0.7500
```

---

Which of them is the least stable? Correct choice: version Q.

---

Version P
Below is an optimized crystal structure of Tb4Ho5Cd, with properties calculated at the GGA-PBE level.

Cell and atoms, written as CIF:
```
data_Tb4Ho5Cd
_cell_length_a 4.0642
_cell_length_b 4.0642
_cell_length_c 18.4518
_cell_angle_alpha 90.00
_cell_angle_beta 90.00
_cell_angle_gamma 90.00
_space_group_name_H-M_alt 'P 4/m m m'
_space_group_IT_number 123
_space_group_name_Hall '-P 4 2'
loop_
_atom_site_label
_atom_site_fract_x
_atom_site_fract_y
_atom_site_fract_z
Tb1 0.0000 0.0000 0.1016
Tb2 0.0000 0.0000 0.3009
Ho1 0.5000 0.5000 0.0000
Ho2 0.5000 0.5000 0.2036
Ho3 0.5000 0.5000 0.4084
Cd1 0.0000 0.0000 0.5000
```

---

Version Q
Below is an optimized crystal structure of Tb4Ho5Cd, with properties calculated at the GGA-PBE level.

Cell and atoms, written as CIF:
```
data_Tb4Ho5Cd
_cell_length_a 10.5786
_cell_length_b 10.5786
_cell_length_c 5.7004
_cell_angle_alpha 90.00
_cell_angle_beta 90.00
_cell_angle_gamma 90.00
_space_group_name_H-M_alt 'I 4 m m'
_space_group_IT_number 107
_space_group_name_Hall 'I 4 -2'
loop_
_atom_site_label
_atom_site_fract_x
_atom_site_fract_y
_atom_site_fract_z
Tb1 0.0000 0.3199 0.0000
Ho1 0.0000 0.0000 0.1982
Ho2 0.1846 0.1846 0.4911
Cd1 0.0000 0.0000 0.7173
```

---

Which of them is the least stable? Correct choice: version Q.

---

Version P
Below is an optimized crystal structure of Tb2Ho2Cd, with properties calculated at the GGA-PBE level.

Cell and atoms, written as CIF:
```
data_Tb2Ho2Cd
_cell_length_a 3.5516
_cell_length_b 3.5516
_cell_length_c 23.3021
_cell_angle_alpha 90.00
_cell_angle_beta 90.00
_cell_angle_gamma 90.00
_space_group_name_H-M_alt 'I 4/m m m'
_space_group_IT_number 139
_space_group_name_Hall '-I 4 2'
loop_
_atom_site_label
_atom_site_fract_x
_atom_site_fract_y
_atom_site_fract_z
Tb1 0.0000 0.0000 0.1960
Ho1 0.0000 0.0000 0.4109
Cd1 0.0000 0.0000 0.0000
```

---

Version Q
Below is an optimized crystal structure of Tb2Ho2Cd, with properties calculated at the GGA-PBE level.

Cell and atoms, written as CIF:
```
data_Tb2Ho2Cd
_cell_length_a 5.0442
_cell_length_b 5.0442
_cell_length_c 25.2015
_cell_angle_alpha 90.00
_cell_angle_beta 90.00
_cell_angle_gamma 90.00
_space_group_name_H-M_alt 'I 41/a m d'
_space_group_IT_number 141
loop_
_space_group_symop_operation_xyz
'x,y,z'
'-x,-y,-z'
'-y+1/4,x+3/4,z+1/4'
'y+1/4,-x+3/4,-z+1/4'
'-x+1/2,-y,z+1/2'
'x+1/2,y,-z+1/2'
'y+1/4,-x+1/4,z+3/4'
'-y+1/4,x+1/4,-z+3/4'
'x,-y,-z'
'-x,y,z'
'-y+1/4,-x+1/4,-z+3/4'
'y+1/4,x+1/4,z+3/4'
'-x+1/2,y,-z+1/2'
'x+1/2,-y,z+1/2'
'y+1/4,x+3/4,-z+1/4'
'-y+1/4,-x+3/4,z+1/4'
'x+1/2,y+1/2,z+1/2'
'-x+1/2,-y+1/2,-z+1/2'
'-y+3/4,x+1/4,z+3/4'
'y+3/4,-x+1/4,-z+3/4'
'-x,-y+1/2,z'
'x,y+1/2,-z'
'y+3/4,-x+3/4,z+1/4'
'-y+3/4,x+3/4,-z+1/4'
'x+1/2,-y+1/2,-z+1/2'
'-x+1/2,y+1/2,z+1/2'
'-y+3/4,-x+3/4,-z+1/4'
'y+3/4,x+3/4,z+1/4'
'-x,y+1/2,-z'
'x,-y+1/2,z'
'y+3/4,x+1/4,-z+3/4'
'-y+3/4,-x+1/4,z+3/4'
loop_
_atom_site_label
_atom_site_fract_x
_atom_site_fract_y
_atom_site_fract_z
Tb1 0.0000 0.2500 0.0518
Ho1 0.0000 0.2500 0.2027
Cd1 0.0000 0.2500 0.3750
```

---

Which of them is the least stable? Correct choice: version Q.

---

Version P
Below is an optimized crystal structure of Tb8Ho2Cd, with properties calculated at the GGA-PBE level.

Cell and atoms, written as CIF:
```
data_Tb8Ho2Cd
_cell_length_a 17.1047
_cell_length_b 5.3900
_cell_length_c 8.2929
_cell_angle_alpha 90.00
_cell_angle_beta 116.36
_cell_angle_gamma 90.00
_space_group_name_H-M_alt 'C 1 2/m 1'
_space_group_IT_number 12
loop_
_space_group_symop_operation_xyz
'x,y,z'
'-x,-y,-z'
'-x,y,-z'
'x,-y,z'
'x+1/2,y+1/2,z'
'-x+1/2,-y+1/2,-z'
'-x+1/2,y+1/2,-z'
'x+1/2,-y+1/2,z'
loop_
_atom_site_label
_atom_site_fract_x
_atom_site_fract_y
_atom_site_fract_z
Tb1 0.0199 0.0000 0.2233
Tb2 0.1053 0.5000 0.9322
Tb3 0.1594 0.0000 0.7003
Tb4 0.1679 0.5000 0.4031
Ho1 0.2010 0.0000 0.1491
Cd1 0.0000 0.5000 0.5000
```

---

Version Q
Below is an optimized crystal structure of Tb8Ho2Cd, with properties calculated at the GGA-PBE level.

Cell and atoms, written as CIF:
```
data_Tb8Ho2Cd
_cell_length_a 11.1450
_cell_length_b 4.9816
_cell_length_c 12.5690
_cell_angle_alpha 90.00
_cell_angle_beta 104.75
_cell_angle_gamma 90.00
_space_group_name_H-M_alt 'C 1 2/m 1'
_space_group_IT_number 12
loop_
_space_group_symop_operation_xyz
'x,y,z'
'-x,-y,-z'
'-x,y,-z'
'x,-y,z'
'x+1/2,y+1/2,z'
'-x+1/2,-y+1/2,-z'
'-x+1/2,y+1/2,-z'
'x+1/2,-y+1/2,z'
loop_
_atom_site_label
_atom_site_fract_x
_atom_site_fract_y
_atom_site_fract_z
Tb1 0.0382 0.0000 0.3218
Tb2 0.0909 0.5000 0.1390
Tb3 0.1385 0.0000 0.9524
Tb4 0.2390 0.0000 0.5888
Ho1 0.1857 0.5000 0.7654
Cd1 0.0000 0.5000 0.5000
```

---

Which of them is the least stable? Correct choice: version P.

---

Version P
Below is an optimized crystal structure of Tb6HoCd, with properties calculated at the GGA-PBE level.

Cell and atoms, written as CIF:
```
data_Tb6HoCd
_cell_length_a 4.9137
_cell_length_b 4.9137
_cell_length_c 10.0212
_cell_angle_alpha 90.00
_cell_angle_beta 90.00
_cell_angle_gamma 90.00
_space_group_name_H-M_alt 'P 4/m m m'
_space_group_IT_number 123
_space_group_name_Hall '-P 4 2'
loop_
_atom_site_label
_atom_site_fract_x
_atom_site_fract_y
_atom_site_fract_z
Tb1 0.0000 0.0000 0.0000
Tb2 0.0000 0.0000 0.5000
Tb3 0.0000 0.5000 0.2454
Ho1 0.5000 0.5000 0.5000
Cd1 0.5000 0.5000 0.0000
```

---

Version Q
Below is an optimized crystal structure of Tb6HoCd, with properties calculated at the GGA-PBE level.

Cell and atoms, written as CIF:
```
data_Tb6HoCd
_cell_length_a 9.2524
_cell_length_b 9.2524
_cell_length_c 10.0609
_cell_angle_alpha 90.00
_cell_angle_beta 90.00
_cell_angle_gamma 120.00
_space_group_name_H-M_alt 'R -3'
_space_group_IT_number 148
_space_group_name_Hall '-R 3'
loop_
_atom_site_label
_atom_site_fract_x
_atom_site_fract_y
_atom_site_fract_z
Tb1 0.0247 0.2573 0.2171
Ho1 0.0000 0.0000 0.5000
Cd1 0.0000 0.0000 0.0000
```

---

Which of them is the least stable? Correct choice: version Q.